Record 1
Below is crystalline SbPCl2 at its relaxed geometry, with properties calculated at the PBEsol level.

Values from the calculation:
polymorph energy (0 for the lowest one) = 186 meV/atom
formation energy without anion corrections = 0.1677 eV/atom
energy = -0.2516 Ry/atom

a b c (Å): 3.178 5.711 10.172
angles (deg): 90.00 90.00 90.00
Sites, in units of the cell vectors:
Sb 0.000 0.000 0.000
Sb 0.500 0.500 0.000
P 0.000 0.000 0.500
P 0.500 0.500 0.500
Cl 0.000 0.500 0.324
Cl 0.000 0.500 0.676
Cl 0.500 0.000 0.324
Cl 0.500 0.000 0.676

---

Record 2
Below is crystalline ZnSbP2Cl at its relaxed geometry, with properties calculated at the PBEsol level.

Values from the calculation:
polymorph energy (0 for the lowest one) = 0 meV/atom
formation energy without anion corrections = 0.4600 eV/atom
energy = -0.2562 Ry/atom

a b c (Å): 4.677 4.677 4.581
angles (deg): 90.00 90.00 90.00
Sites, in units of the cell vectors:
Zn 0.000 0.000 0.000
Sb 0.500 0.500 0.500
P 0.000 0.500 0.000
P 0.500 0.000 0.000
Cl 0.000 0.000 0.500

---

Record 3
Below is crystalline ScPCl2 at its relaxed geometry, with properties calculated at the PBEsol level.

Values from the calculation:
polymorph energy (0 for the lowest one) = 758 meV/atom
formation energy without anion corrections = -0.3290 eV/atom
energy = -0.3257 Ry/atom

a b c (Å): 5.867 7.836 3.124
angles (deg): 90.00 90.00 90.00
Sites, in units of the cell vectors:
Sc 0.000 0.000 0.000
Sc 0.500 0.500 0.000
P 0.000 0.500 0.000
P 0.500 0.000 0.000
Cl 0.250 0.250 0.500
Cl 0.250 0.750 0.500
Cl 0.750 0.250 0.500
Cl 0.750 0.750 0.500

---

Record 4
Below is crystalline Sc4PCl6 at its relaxed geometry, with properties calculated at the PBEsol level.

Values from the calculation:
formation energy without anion corrections = -1.9555 eV/atom
energy = -0.4395 Ry/atom

a b c (Å): 11.834 12.413 3.621
angles (deg): 90.00 90.00 90.00
Sites, in units of the cell vectors:
Sc 0.115 0.085 0.000
Sc 0.126 0.844 0.500
Sc 0.374 0.344 0.500
Sc 0.385 0.585 0.000
Sc 0.615 0.415 0.000
Sc 0.626 0.656 0.500
Sc 0.874 0.156 0.500
Sc 0.885 0.915 0.000
P 0.000 0.000 0.500
P 0.500 0.500 0.500
Cl 0.014 0.744 0.000
Cl 0.243 0.174 0.500
Cl 0.244 0.421 0.000
Cl 0.256 0.921 0.000
Cl 0.257 0.674 0.500
Cl 0.486 0.244 0.000
Cl 0.514 0.756 0.000
Cl 0.743 0.326 0.500
Cl 0.744 0.079 0.000
Cl 0.756 0.579 0.000
Cl 0.757 0.826 0.500
Cl 0.986 0.256 0.000

---

Record 5
Below is crystalline ScPCl2 at its relaxed geometry, with properties calculated at the PBEsol level.

Values from the calculation:
polymorph energy (0 for the lowest one) = 509 meV/atom
formation energy without anion corrections = -0.5782 eV/atom
energy = -0.3441 Ry/atom

a b c (Å): 3.884 3.884 9.331
angles (deg): 90.00 90.00 90.00
Sites, in units of the cell vectors:
Sc 0.000 0.000 0.000
Sc 0.500 0.500 0.500
P 0.000 0.500 0.750
P 0.500 0.000 0.250
Cl 0.000 0.000 0.500
Cl 0.000 0.500 0.250
Cl 0.500 0.000 0.750
Cl 0.500 0.500 0.000

---

Record 6
Below is crystalline ScPCl2 at its relaxed geometry, with properties calculated at the PBEsol level.

Values from the calculation:
polymorph energy (0 for the lowest one) = 314 meV/atom
formation energy without anion corrections = -0.7726 eV/atom
energy = -0.3584 Ry/atom

a b c (Å): 3.244 3.244 28.005
angles (deg): 90.00 90.00 120.00
Sites, in units of the cell vectors:
Sc 0.000 0.000 0.000
Sc 0.333 0.667 0.667
Sc 0.667 0.333 0.333
P 0.000 0.000 0.500
P 0.333 0.667 0.167
P 0.667 0.333 0.833
Cl 0.000 0.000 0.275
Cl 0.000 0.000 0.725
Cl 0.333 0.667 0.392
Cl 0.333 0.667 0.942
Cl 0.667 0.333 0.058
Cl 0.667 0.333 0.608

---

Record 7
Below is crystalline ScPCl2 at its relaxed geometry, with properties calculated at the PBEsol level.

Values from the calculation:
polymorph energy (0 for the lowest one) = 656 meV/atom
formation energy without anion corrections = -0.4308 eV/atom
energy = -0.3332 Ry/atom

a b c (Å): 6.609 6.609 6.609
angles (deg): 90.00 90.00 90.00
Sites, in units of the cell vectors:
Sc 0.000 0.000 0.000
Sc 0.000 0.500 0.500
Sc 0.500 0.000 0.500
Sc 0.500 0.500 0.000
P 0.250 0.250 0.250
P 0.250 0.750 0.750
P 0.750 0.250 0.750
P 0.750 0.750 0.250
Cl 0.000 0.000 0.500
Cl 0.000 0.500 0.000
Cl 0.250 0.250 0.750
Cl 0.250 0.750 0.250
Cl 0.500 0.000 0.000
Cl 0.500 0.500 0.500
Cl 0.750 0.250 0.250
Cl 0.750 0.750 0.750

---

Record 8
Below is crystalline ScPCl2 at its relaxed geometry, with properties calculated at the PBEsol level.

Values from the calculation:
polymorph energy (0 for the lowest one) = 609 meV/atom
formation energy without anion corrections = -0.4784 eV/atom
energy = -0.3367 Ry/atom

a b c (Å): 6.506 6.506 6.506
angles (deg): 90.00 90.00 90.00
Sites, in units of the cell vectors:
Sc 0.000 0.000 0.000
Sc 0.000 0.500 0.500
Sc 0.500 0.000 0.500
Sc 0.500 0.500 0.000
P 0.000 0.000 0.500
P 0.000 0.500 0.000
P 0.500 0.000 0.000
P 0.500 0.500 0.500
Cl 0.250 0.250 0.250
Cl 0.250 0.250 0.750
Cl 0.250 0.750 0.250
Cl 0.250 0.750 0.750
Cl 0.750 0.250 0.250
Cl 0.750 0.250 0.750
Cl 0.750 0.750 0.250
Cl 0.750 0.750 0.750

---

Record 9
Below is crystalline ScPCl2 at its relaxed geometry, with properties calculated at the PBEsol level.

Values from the calculation:
polymorph energy (0 for the lowest one) = 0 meV/atom
formation energy without anion corrections = -1.0870 eV/atom
energy = -0.3815 Ry/atom

a b c (Å): 8.991 3.545 6.209
angles (deg): 90.00 101.03 90.00
Sites, in units of the cell vectors:
Sc 0.000 0.000 0.000
Sc 0.500 0.500 0.000
P 0.210 0.500 0.059
P 0.710 0.000 0.059
Cl 0.077 0.500 0.321
Cl 0.366 0.000 0.735
Cl 0.577 0.000 0.321
Cl 0.866 0.500 0.735

---

Record 10
Below is crystalline ScSiPCl2 at its relaxed geometry, with properties calculated at the PBEsol level.

Values from the calculation:
formation energy without anion corrections = -0.2414 eV/atom
energy = -0.3435 Ry/atom

a b c (Å): 4.556 4.556 4.804
angles (deg): 90.00 90.00 90.00
Sites, in units of the cell vectors:
Sc 0.000 0.000 0.000
Si 0.500 0.500 0.500
P 0.500 0.500 0.000
Cl 0.000 0.500 0.500
Cl 0.500 0.000 0.500

---

Record 11
Below is crystalline ScTaPCl2 at its relaxed geometry, with properties calculated at the PBEsol level.

Values from the calculation:
formation energy without anion corrections = 0.1151 eV/atom
energy = -0.4173 Ry/atom

a b c (Å): 4.602 4.602 5.364
angles (deg): 90.00 90.00 90.00
Sites, in units of the cell vectors:
Sc 0.000 0.000 0.000
Ta 0.500 0.500 0.500
P 0.000 0.000 0.500
Cl 0.000 0.500 0.000
Cl 0.500 0.000 0.000

---

Record 12
Below is crystalline ScTlPCl2 at its relaxed geometry, with properties calculated at the PBEsol level.

Values from the calculation:
formation energy without anion corrections = -0.9550 eV/atom
energy = -0.3501 Ry/atom

a b c (Å): 4.854 4.854 5.234
angles (deg): 90.00 90.00 90.00
Sites, in units of the cell vectors:
Sc 0.000 0.000 0.000
Tl 0.500 0.500 0.500
P 0.000 0.000 0.500
Cl 0.000 0.500 0.000
Cl 0.500 0.000 0.000

---

no.,spin magnetization (μB per formula unit)
1,0.00
2,0.00
3,0.00
4,0.00
5,0.00
6,0.54
7,0.00
8,0.00
9,0.00
10,0.54
11,2.99
12,0.00